Entry 1:
Here is an optimized crystal structure of PdPtRh2 from Alexandria via LeMat-Bulk. Energies are from PBE.

Structure (extended XYZ):
```
4
Lattice="-1.946 1.946 3.907 1.946 -1.946 3.907 1.946 1.946 -3.907" Properties=species:S:1:pos:R:3 pbc="T T T"
Pd 0.000 0.000 0.000
Pt 1.946 0.000 1.954
Rh 0.000 0.000 3.907
Rh 0.000 1.946 1.954
```

Results
theoretical density = 14.23 g cm⁻³
magnetic moment = 0.01 μB/cell
formation energy = 0.06 eV per formula unit


Entry 2:
Here is an optimized crystal structure of PdPt2Rh from Alexandria via LeMat-Bulk. Energies are from PBE.

Structure (extended XYZ):
```
8
Lattice="-3.524 3.524 2.699 3.524 -3.524 2.699 3.524 3.524 -2.699" Properties=species:S:1:pos:R:3 pbc="T T T"
Pd 0.000 0.000 0.000
Pd 0.000 3.524 1.350
Pt 1.762 -1.699 2.025
Pt 1.825 1.762 0.675
Pt 1.762 5.223 -0.675
Pt 1.699 1.762 3.374
Rh 3.524 0.000 1.350
Rh 0.000 0.000 2.699
```

Results
theoretical density = 14.84 g cm⁻³
magnetic moment = 0.00 μB/cell
formation energy = 1.50 eV per formula unit


Entry 3:
Here is an optimized crystal structure of PdPtRh2 from Alexandria via LeMat-Bulk. Energies are from PBE.

Structure (extended XYZ):
```
4
Lattice="0.000 3.114 3.114 3.114 0.000 3.114 3.114 3.114 0.000" Properties=species:S:1:pos:R:3 pbc="T T T"
Pd 0.000 0.000 0.000
Pt 4.671 4.671 4.671
Rh 1.557 1.557 1.557
Rh 3.114 3.114 3.114
```

Results
theoretical density = 13.95 g cm⁻³
magnetic moment = 0.58 μB/cell
formation energy = 0.84 eV per formula unit


Entry 4:
Here is an optimized crystal structure of Pd2Pt5Rh2 from Alexandria via LeMat-Bulk. Energies are from PBE.

Structure (extended XYZ):
```
9
Lattice="6.411 -1.852 0.000 6.411 1.852 0.000 -4.185 0.000 6.623" Properties=species:S:1:pos:R:3 pbc="T T T"
Pd 0.001 0.000 1.415
Pd 8.635 0.000 5.208
Pt -2.093 0.000 3.312
Pt 2.294 0.000 0.335
Pt 2.172 0.000 3.112
Pt 6.464 0.000 3.511
Pt 6.342 0.000 6.288
Rh 4.583 0.000 1.485
Rh 4.053 0.000 5.139
```

Results
theoretical density = 14.72 g cm⁻³
magnetic moment = 0.00 μB/cell
formation energy = 3.35 eV per formula unit


Entry 5:
Here is an optimized crystal structure of PdPt3Rh from Alexandria via LeMat-Bulk. Energies are from PBE.

Structure (extended XYZ):
```
10
Lattice="2.583 -6.645 0.000 2.583 6.645 0.000 0.000 0.000 4.925" Properties=species:S:1:pos:R:3 pbc="T T T"
Pd 2.583 5.733 3.694
Pd 2.583 -5.733 1.231
Pt 1.282 2.063 3.694
Pt 1.282 -2.063 1.231
Pt 2.583 0.000 0.000
Pt 2.583 0.000 2.462
Pt 3.884 2.063 3.694
Pt 3.884 -2.063 1.231
Rh 2.583 2.355 1.231
Rh 2.583 -2.355 3.694
```

Results
theoretical density = 15.61 g cm⁻³
magnetic moment = 0.00 μB/cell
formation energy = 1.37 eV per formula unit


Entry 6:
Here is an optimized crystal structure of Pd2Pt6Rh from Alexandria via LeMat-Bulk. Energies are from PBE.

Structure (extended XYZ):
```
9
Lattice="3.637 -2.383 0.000 3.637 2.383 0.000 -1.564 0.000 8.095" Properties=species:S:1:pos:R:3 pbc="T T T"
Pd 0.512 0.000 3.595
Pd 5.199 0.000 4.500
Pt 1.025 0.000 0.895
Pt 0.025 0.000 6.308
Pt 3.098 0.000 2.686
Pt 2.613 0.000 5.409
Pt 5.686 0.000 1.787
Pt 4.686 0.000 7.201
Rh 3.637 0.000 0.000
```

Results
theoretical density = 17.59 g cm⁻³
magnetic moment = 0.00 μB/cell
formation energy = 0.12 eV per formula unit


Entry 7:
Here is an optimized crystal structure of Pd3Pt3Rh from Alexandria via LeMat-Bulk. Energies are from PBE.

Structure (extended XYZ):
```
14
Lattice="3.689 2.130 4.548 -3.689 2.130 4.548 0.000 -4.260 4.548" Properties=species:S:1:pos:R:3 pbc="T T T"
Pd -1.576 -0.308 5.671
Pd -0.521 -1.519 7.974
Pd 1.055 -1.211 5.671
Pd -1.055 1.211 7.974
Pd 0.521 1.519 5.671
Pd 1.576 0.308 7.974
Pt -1.069 -3.051 5.696
Pt -3.176 -0.600 7.948
Pt -2.107 2.451 5.696
Pt 2.107 -2.451 7.948
Pt 3.176 0.600 5.696
Pt 1.069 3.051 7.948
Rh 0.000 0.000 3.387
Rh 0.000 0.000 10.257
```

Results
theoretical density = 15.60 g cm⁻³
magnetic moment = 4.08 μB/cell
formation energy = -0.03 eV per formula unit


Entry 8:
Here is an optimized crystal structure of PdPtRh6 from Alexandria via LeMat-Bulk. Energies are from PBE.

Structure (extended XYZ):
```
8
Lattice="4.329 -1.933 0.000 4.329 1.933 0.000 -3.448 0.000 6.929" Properties=species:S:1:pos:R:3 pbc="T T T"
Pd 0.000 0.000 0.000
Pt -1.724 0.000 3.464
Rh 0.867 0.000 2.594
Rh -0.850 0.000 6.067
Rh 3.452 0.000 1.745
Rh 1.757 0.000 5.184
Rh 6.059 0.000 0.862
Rh 4.342 0.000 4.335
```

Results
theoretical density = 13.16 g cm⁻³
magnetic moment = 0.00 μB/cell
formation energy = 0.24 eV per formula unit


Entry 9:
Here is an optimized crystal structure of Pd5Pt12Rh2 from Alexandria via LeMat-Bulk. Energies are from PBE.

Structure (extended XYZ):
```
19
Lattice="8.501 -2.751 0.000 8.501 2.751 0.000 -2.138 0.000 6.509" Properties=species:S:1:pos:R:3 pbc="T T T"
Pd 0.000 0.000 0.000
Pd 2.083 0.000 6.467
Pd 5.060 0.000 2.659
Pd 9.805 0.000 3.850
Pd 12.781 0.000 0.042
Pt 3.649 1.387 4.586
Pt 1.208 0.000 3.750
Pt 6.501 1.343 0.748
Pt 8.363 1.343 5.761
Pt 11.215 1.387 1.923
Pt 5.971 0.000 5.226
Pt 8.894 0.000 1.283
Pt 3.649 -1.387 4.586
Pt 6.501 -1.343 0.748
Pt 8.363 -1.343 5.761
Pt 13.657 0.000 2.758
Pt 11.215 -1.387 1.923
Rh 7.432 1.382 3.254
Rh 7.432 -1.382 3.254
```

Results
theoretical density = 16.80 g cm⁻³
magnetic moment = 0.54 μB/cell
formation energy = 1.83 eV per formula unit


Entry 10:
Here is an optimized crystal structure of Pd6Pt16Rh7 from Alexandria via LeMat-Bulk. Energies are from PBE.

Structure (extended XYZ):
```
29
Lattice="0.000 6.206 6.206 6.206 0.000 6.206 6.206 6.206 0.000" Properties=species:S:1:pos:R:3 pbc="T T T"
Pd 6.206 6.206 2.833
Pd 6.206 2.833 6.206
Pd 9.580 6.206 6.206
Pd 2.833 6.206 6.206
Pd 6.206 9.580 6.206
Pd 6.206 6.206 9.580
Pt 7.738 4.675 4.675
Pt 1.852 1.852 1.852
Pt 4.354 4.354 1.852
Pt 4.354 1.852 4.354
Pt 4.675 4.675 4.675
Pt 7.738 7.738 4.675
Pt 7.738 4.675 7.738
Pt 10.561 8.058 8.058
Pt 1.852 4.354 4.354
Pt 4.675 7.738 4.675
Pt 4.675 4.675 7.738
Pt 7.738 7.738 7.738
Pt 8.058 10.561 8.058
Pt 8.058 8.058 10.561
Pt 10.561 10.561 10.561
Pt 4.675 7.738 7.738
Rh 3.103 3.103 0.000
Rh 3.103 0.000 3.103
Rh 6.206 3.103 3.103
Rh 0.000 3.103 3.103
Rh 3.103 6.206 3.103
Rh 3.103 3.103 6.206
Rh 6.206 6.206 6.206
```

Results
theoretical density = 15.56 g cm⁻³
magnetic moment = 0.01 μB/cell
formation energy = 6.26 eV per formula unit


Entry 11:
Here is an optimized crystal structure of Pd7Pt2Rh from Alexandria via LeMat-Bulk. Energies are from PBE.

Structure (extended XYZ):
```
10
Lattice="4.251 -7.697 0.000 4.251 7.697 0.000 0.000 0.000 2.684" Properties=species:S:1:pos:R:3 pbc="T T T"
Pd 0.000 0.000 0.000
Pd 2.299 1.394 0.000
Pd 4.251 2.780 1.342
Pd 2.299 -1.394 0.000
Pd 6.203 1.394 0.000
Pd 4.251 -2.780 1.342
Pd 6.203 -1.394 0.000
Pt 4.251 5.039 0.000
Pt 4.251 -5.039 0.000
Rh 4.251 0.000 1.342
```

Results
theoretical density = 11.71 g cm⁻³
magnetic moment = 0.00 μB/cell
formation energy = 3.10 eV per formula unit


Entry 12:
Here is an optimized crystal structure of PdPt3Rh from Alexandria via LeMat-Bulk. Energies are from PBE.

Structure (extended XYZ):
```
5
Lattice="4.774 0.000 0.000 0.000 4.774 0.000 0.000 0.000 4.774" Properties=species:S:1:pos:R:3 pbc="T T T"
Pd 0.000 0.000 0.000
Pt 0.000 0.000 2.387
Pt 0.000 2.387 0.000
Pt 2.387 0.000 0.000
Rh 2.387 2.387 2.387
```

Results
theoretical density = 12.13 g cm⁻³
magnetic moment = 2.03 μB/cell
formation energy = 8.49 eV per formula unit


Entry 13:
Here is an optimized crystal structure of PdPtRh from Alexandria via LeMat-Bulk. Energies are from PBE.

Structure (extended XYZ):
```
3
Lattice="2.772 0.000 0.000 -1.386 2.401 0.000 0.000 0.000 6.775" Properties=species:S:1:pos:R:3 pbc="T T T"
Pd 0.000 0.000 0.000
Pt 0.000 1.600 4.463
Rh 1.386 0.800 2.223
```

Results
theoretical density = 14.89 g cm⁻³
magnetic moment = 0.00 μB/cell
formation energy = 0.03 eV per formula unit


Entry 14:
Here is an optimized crystal structure of Pd3Pt4Rh from Alexandria via LeMat-Bulk. Energies are from PBE.

Structure (extended XYZ):
```
8
Lattice="-1.378 2.370 9.508 1.378 -2.370 9.508 1.378 2.370 -9.508" Properties=species:S:1:pos:R:3 pbc="T T T"
Pd 0.000 0.000 0.000
Pd 0.000 0.000 4.790
Pd 0.000 0.000 14.225
Pt 1.378 0.000 2.398
Pt 1.378 0.000 7.181
Pt 0.000 2.370 2.327
Pt 0.000 2.370 7.110
Rh 0.000 0.000 9.508
```

Results
theoretical density = 16.08 g cm⁻³
magnetic moment = 0.00 μB/cell
formation energy = 0.23 eV per formula unit


Entry 15:
Here is an optimized crystal structure of Pd2Pt4Rh from Alexandria via LeMat-Bulk. Energies are from PBE.

Structure (extended XYZ):
```
7
Lattice="1.372 -11.003 0.000 1.372 11.003 0.000 0.000 0.000 3.801" Properties=species:S:1:pos:R:3 pbc="T T T"
Pd 1.372 6.664 0.000
Pd 1.372 -6.664 0.000
Pt 1.372 9.574 0.000
Pt 1.372 2.908 1.900
Pt 1.372 -2.908 1.900
Pt 1.372 -9.574 0.000
Rh 1.372 0.000 1.900
```

Results
theoretical density = 15.87 g cm⁻³
magnetic moment = 0.00 μB/cell
formation energy = 0.77 eV per formula unit


Entry 16:
Here is an optimized crystal structure of Pd2PtRh from Alexandria via LeMat-Bulk. Energies are from PBE.

Structure (extended XYZ):
```
4
Lattice="0.000 3.126 3.126 3.126 0.000 3.126 3.126 3.126 0.000" Properties=species:S:1:pos:R:3 pbc="T T T"
Pd 0.000 0.000 0.000
Pd 1.563 1.563 1.563
Pt 3.126 3.126 3.126
Rh 4.690 4.690 4.690
```

Results
theoretical density = 13.88 g cm⁻³
magnetic moment = 0.00 μB/cell
formation energy = 0.50 eV per formula unit


Entry 17:
Here is an optimized crystal structure of Pd2Pt6Rh from Alexandria via LeMat-Bulk. Energies are from PBE.

Structure (extended XYZ):
```
9
Lattice="7.250 -1.391 0.000 7.250 1.391 0.000 -4.814 0.000 6.871" Properties=species:S:1:pos:R:3 pbc="T T T"
Pd 2.406 0.000 0.002
Pd 7.280 0.000 6.869
Pt 0.805 0.000 2.258
Pt -0.793 0.000 4.589
Pt 5.645 0.000 2.268
Pt 4.041 0.000 4.602
Pt 10.479 0.000 2.282
Pt 8.881 0.000 4.613
Rh 7.250 0.000 0.000
```

Results
theoretical density = 17.81 g cm⁻³
magnetic moment = 0.13 μB/cell
formation energy = -0.15 eV per formula unit


Entry 18:
Here is an optimized crystal structure of PdPt2Rh from Alexandria via LeMat-Bulk. Energies are from PBE.

Structure (extended XYZ):
```
4
Lattice="1.391 0.803 9.065 -1.391 0.803 9.065 0.000 -1.606 9.065" Properties=species:S:1:pos:R:3 pbc="T T T"
Pd 0.000 0.000 0.000
Pt 0.000 0.000 6.765
Pt 0.000 0.000 20.430
Rh 0.000 0.000 13.597
```

Results
theoretical density = 16.38 g cm⁻³
magnetic moment = 0.00 μB/cell
formation energy = -0.08 eV per formula unit


Entry 19:
Here is an optimized crystal structure of Pd2Pt4Rh3 from Alexandria via LeMat-Bulk. Energies are from PBE.

Structure (extended XYZ):
```
9
Lattice="3.913 0.000 0.000 -1.951 5.892 0.000 -0.007 -1.967 5.888" Properties=species:S:1:pos:R:3 pbc="T T T"
Pd 0.002 1.963 0.000
Pd 1.953 1.962 5.888
Pt -0.002 -0.014 1.959
Pt -0.002 1.967 3.931
Pt 1.957 1.958 1.958
Pt 1.957 3.939 3.930
Rh 0.002 3.955 1.976
Rh 1.957 0.000 0.000
Rh 1.953 -0.030 3.912
```

Results
theoretical density = 15.92 g cm⁻³
magnetic moment = 0.00 μB/cell
formation energy = 0.06 eV per formula unit


Entry 20:
Here is an optimized crystal structure of Pd3Pt3Rh2 from Alexandria via LeMat-Bulk. Energies are from PBE.

Structure (extended XYZ):
```
8
Lattice="3.907 0.000 0.000 0.000 3.925 0.000 0.000 0.000 7.900" Properties=species:S:1:pos:R:3 pbc="T T T"
Pd 0.000 0.000 0.000
Pd 0.000 1.962 1.962
Pd 0.000 1.962 5.938
Pt 0.000 0.000 3.950
Pt 1.953 1.962 0.000
Pt 1.953 1.962 3.950
Rh 1.953 0.000 1.987
Rh 1.953 0.000 5.913
```

Results
theoretical density = 15.22 g cm⁻³
magnetic moment = 0.00 μB/cell
formation energy = 0.07 eV per formula unit